1:
## CsLa2Ag2 (PBE)

Data for a geometry-optimized CsLa2Ag2 structure.

Its space group is I4/mmm (139).

The structure in POSCAR format:
```
CsLa2Ag2
1.0
-2.6139 2.6139 6.7437
2.6139 -2.6139 6.7437
2.6139 2.6139 -6.7437
Cs La Ag
1 2 2
Cartesian
0.0000 0.0000 0.0000
2.6139 0.0000 3.3718
0.0000 2.6139 3.3718
0.0000 0.0000 5.2780
0.0000 0.0000 8.2093
```

=====

2:
## CsLa2Ag2 (PBE)

Data for a geometry-optimized CsLa2Ag2 structure.

Its space group is P4/mbm (127).

The structure in POSCAR format:
```
CsLa2Ag2
1.0
9.3803 0.0000 0.0000
0.0000 9.3803 0.0000
0.0000 0.0000 3.6716
Cs La Ag
2 4 4
Cartesian
0.0000 0.0000 0.0000
4.6901 4.6901 0.0000
1.2216 3.4686 0.0000
3.4686 8.1587 0.0000
5.9117 1.2216 0.0000
8.1587 5.9117 0.0000
1.4894 6.1795 1.8358
3.2007 1.4894 1.8358
6.1795 7.8909 1.8358
7.8909 3.2007 1.8358
```

=====

Which one sits at the bottom of the stability order? 1 does.

=====

1:
## CsLi3Ag (PBE)

Data for a geometry-optimized CsLi3Ag structure.

Its space group is Pm-3m (221).

The structure in POSCAR format:
```
CsLi3Ag
1.0
5.3221 0.0000 0.0000
0.0000 5.3221 0.0000
0.0000 0.0000 5.3221
Cs Li Ag
1 3 1
Cartesian
0.0000 0.0000 0.0000
0.0000 0.0000 2.6610
0.0000 2.6610 0.0000
2.6610 0.0000 0.0000
2.6610 2.6610 2.6610
```

=====

2:
## CsLi3Ag (PBE)

Data for a geometry-optimized CsLi3Ag structure.

Its space group is Pm-3m (221).

The structure in POSCAR format:
```
CsLi3Ag
1.0
5.4636 0.0000 0.0000
0.0000 5.4636 0.0000
0.0000 0.0000 5.4636
Cs Li Ag
1 3 1
Cartesian
0.0000 0.0000 0.0000
0.0000 2.7318 2.7318
2.7318 0.0000 2.7318
2.7318 2.7318 0.0000
2.7318 2.7318 2.7318
```

=====

Which one sits at the bottom of the stability order? 1 does.

=====

1:
## Cs2LiAg2 (PBE)

Data for a geometry-optimized Cs2LiAg2 structure.

Its space group is P4/mbm (127).

The structure in POSCAR format:
```
Cs2LiAg2
1.0
10.5536 0.0000 0.0000
0.0000 10.5536 0.0000
0.0000 0.0000 3.9981
Cs Li Ag
4 2 4
Cartesian
1.4514 3.8254 0.0000
3.8254 9.1022 0.0000
6.7282 1.4514 0.0000
9.1022 6.7282 0.0000
0.0000 0.0000 0.0000
5.2768 5.2768 0.0000
1.7224 6.9992 1.9990
3.5544 1.7224 1.9990
6.9992 8.8312 1.9990
8.8312 3.5544 1.9990
```

=====

2:
## Cs2LiAg2 (PBE)

Data for a geometry-optimized Cs2LiAg2 structure.

Its space group is I4/mmm (139).

The structure in POSCAR format:
```
Cs2LiAg2
1.0
-2.8696 2.8696 7.5032
2.8696 -2.8696 7.5032
2.8696 2.8696 -7.5032
Cs Li Ag
2 1 2
Cartesian
2.8696 0.0000 3.7516
0.0000 2.8696 3.7516
0.0000 0.0000 0.0000
0.0000 0.0000 6.1182
0.0000 0.0000 8.8882
```

=====

3:
## Cs2LiAg2 (PBE)

Data for a geometry-optimized Cs2LiAg2 structure.

Its space group is P4/mbm (127).

The structure in POSCAR format:
```
Cs2LiAg2
1.0
8.2829 0.0000 0.0000
0.0000 8.2829 0.0000
0.0000 0.0000 5.7731
Cs Li Ag
4 2 4
Cartesian
1.4469 2.6945 0.0000
2.6945 6.8359 0.0000
5.5884 1.4469 0.0000
6.8359 5.5884 0.0000
0.0000 0.0000 2.8866
4.1414 4.1414 2.8866
1.0253 5.1668 2.8866
3.1161 1.0253 2.8866
5.1668 7.2575 2.8866
7.2575 3.1161 2.8866
```

=====

Which one sits at the bottom of the stability order? 2 does.

=====

1:
## CsLi2Ag2 (PBE)

Data for a geometry-optimized CsLi2Ag2 structure.

Its space group is I4/mmm (139).

The structure in POSCAR format:
```
CsLi2Ag2
1.0
-2.4233 2.4233 5.9721
2.4233 -2.4233 5.9721
2.4233 2.4233 -5.9721
Cs Li Ag
1 2 2
Cartesian
0.0000 0.0000 0.0000
2.4233 0.0000 2.9861
0.0000 2.4233 2.9861
0.0000 0.0000 4.4772
0.0000 0.0000 7.4671
```

=====

2:
## CsLi2Ag2 (PBE)

Data for a geometry-optimized CsLi2Ag2 structure.

Its space group is P4/mbm (127).

The structure in POSCAR format:
```
CsLi2Ag2
1.0
8.6982 0.0000 0.0000
0.0000 8.6982 0.0000
0.0000 0.0000 3.3493
Cs Li Ag
2 4 4
Cartesian
0.0000 0.0000 0.0000
4.3491 4.3491 0.0000
1.0325 3.3166 0.0000
3.3166 7.6658 0.0000
5.3816 1.0325 0.0000
7.6658 5.3816 0.0000
1.3278 5.6769 1.6746
3.0213 1.3278 1.6746
5.6769 7.3704 1.6746
7.3704 3.0213 1.6746
```

=====

Which one sits at the bottom of the stability order? 2 does.

=====

1:
## CsMg2Ag2 (PBE)

Data for a geometry-optimized CsMg2Ag2 structure.

Its space group is P4/mbm (127).

The structure in POSCAR format:
```
CsMg2Ag2
1.0
9.0029 0.0000 0.0000
0.0000 9.0029 0.0000
0.0000 0.0000 3.2407
Cs Mg Ag
2 4 4
Cartesian
0.0000 0.0000 0.0000
4.5015 4.5015 0.0000
1.0941 3.4074 0.0000
3.4074 7.9088 0.0000
5.5955 1.0941 0.0000
7.9088 5.5955 0.0000
1.4426 5.9440 1.6204
3.0589 1.4426 1.6204
5.9440 7.5604 1.6204
7.5604 3.0589 1.6204
```

=====

2:
## CsMg2Ag2 (PBE)

Data for a geometry-optimized CsMg2Ag2 structure.

Its space group is I4/mmm (139).

The structure in POSCAR format:
```
CsMg2Ag2
1.0
-2.4730 2.4730 6.0116
2.4730 -2.4730 6.0116
2.4730 2.4730 -6.0116
Cs Mg Ag
1 2 2
Cartesian
0.0000 0.0000 0.0000
2.4730 0.0000 3.0058
0.0000 2.4730 3.0058
0.0000 0.0000 4.5012
0.0000 0.0000 7.5220
```

=====

Which one sits at the bottom of the stability order? 1 does.

=====

1:
## Cs2MgAg (PBE)

Data for a geometry-optimized Cs2MgAg structure.

Its space group is I-42d (122).

The structure in POSCAR format:
```
Cs2MgAg
1.0
-5.3121 5.3121 3.8491
5.3121 -5.3121 3.8491
5.3121 5.3121 -3.8491
Cs Mg Ag
4 2 2
Cartesian
7.9681 2.2033 -0.9623
2.2033 2.6560 0.9623
-2.6560 3.1087 2.8868
3.1087 2.6560 4.8113
5.3121 0.0000 1.9245
0.0000 0.0000 3.8491
0.0000 0.0000 0.0000
0.0000 5.3121 1.9245
```

=====

2:
## Cs2MgAg (PBE)

Data for a geometry-optimized Cs2MgAg structure.

Its space group is Fm-3m (225).

The structure in POSCAR format:
```
Cs2MgAg
1.0
0.0000 4.6746 4.6746
4.6746 0.0000 4.6746
4.6746 4.6746 0.0000
Cs Mg Ag
2 1 1
Cartesian
2.3373 2.3373 2.3373
7.0119 7.0119 7.0119
0.0000 0.0000 0.0000
4.6746 4.6746 4.6746
```

=====

Which one sits at the bottom of the stability order? 1 does.